1.
! PBE AcCdC, optimized geometry; values from VASP
! Formation energy = -29 kJ/mol of formula units
! N(E_F) = 1.35 states/eV/f.u.
! Energy above the most stable polymorph in this dataset = 0.074 eV/f.u.
! Size of the total moment = 0.000 Bohr magnetons per cell
! Space-group type = P1
&SYSTEM
  ibrav = 0, nat = 6, ntyp = 3
/
ATOMIC_SPECIES
Cd 112.41 Cd.upf
Ac 227.00 Ac.upf
C 12.01 C.upf
CELL_PARAMETERS angstrom
-2.833 2.524 1.482
-1.993 -1.442 3.804
8.092 3.631 3.851
ATOMIC_POSITIONS crystal
Cd 0.050 0.205 0.144
Ac 0.202 0.296 0.555
Ac 0.627 0.766 0.882
C 0.851 0.185 0.748
Cd 0.430 0.619 0.283
C 0.978 0.882 0.688

=====

2.
! PBE AcCdC, optimized geometry; values from VASP
! Formation energy = -37 kJ/mol of formula units
! N(E_F) = 1.44 states/eV/f.u.
! Energy above the most stable polymorph in this dataset = 0.000 eV/f.u.
! Size of the total moment = 0.000 Bohr magnetons per cell
! Space-group type = C2/m
&SYSTEM
  ibrav = 0, nat = 6, ntyp = 3
/
ATOMIC_SPECIES
Cd 112.41 Cd.upf
Ac 227.00 Ac.upf
C 12.01 C.upf
CELL_PARAMETERS angstrom
-4.054 0.949 -0.103
1.324 -3.137 3.208
1.893 8.480 3.647
ATOMIC_POSITIONS crystal
Cd 0.674 0.349 0.557
Cd 0.326 0.651 0.443
Ac 0.088 0.176 0.828
C 0.583 0.166 0.030
Ac 0.912 0.824 0.172
C 0.417 0.834 0.970

=====

3.
! PBE Ac2CdIrC, optimized geometry; values from VASP
! Formation energy = -164 kJ/mol of formula units
! N(E_F) = 2.87 states/eV/f.u.
! Size of the total moment = 0.000 Bohr magnetons per cell
! Space-group type = P4/mmm
&SYSTEM
  ibrav = 0, nat = 5, ntyp = 4
/
ATOMIC_SPECIES
C 12.01 C.upf
Ac 227.00 Ac.upf
Cd 112.41 Cd.upf
Ir 192.22 Ir.upf
CELL_PARAMETERS angstrom
3.925 0.000 0.000
0.000 5.701 0.000
0.000 0.000 5.701
ATOMIC_POSITIONS crystal
C 0.000 0.000 0.000
Ac 0.000 0.500 0.000
Cd 0.500 0.500 0.500
Ir 0.500 0.000 0.000
Ac 0.000 0.000 0.500

=====

4.
! PBE Ac3CdC2N6, optimized geometry; values from VASP
! Formation energy from raw total energies = -0.516 eV per atom
! N(E_F) = 1.47 states/eV/f.u.
! Size of the total moment = 0.000 Bohr magnetons per cell
! Space-group type = P-3m1
&SYSTEM
  ibrav = 0, nat = 12, ntyp = 4
/
ATOMIC_SPECIES
Cd 112.41 Cd.upf
C 12.01 C.upf
N 14.01 N.upf
Ac 227.00 Ac.upf
CELL_PARAMETERS angstrom
-4.517 -2.967 -1.481
3.833 -2.248 3.413
-3.435 2.487 5.497
ATOMIC_POSITIONS crystal
Cd 0.000 0.000 0.500
C 0.333 0.667 0.262
N 0.382 0.191 0.734
C 0.667 0.333 0.738
N 0.618 0.809 0.266
N 0.809 0.191 0.734
N 0.191 0.382 0.266
N 0.191 0.809 0.266
Ac 0.000 0.000 0.000
Ac 0.333 0.667 0.669
Ac 0.667 0.333 0.331
N 0.809 0.618 0.734

=====

5.
! PBE AcCd3C4O12, optimized geometry; values from VASP
! Formation energy from raw total energies = -1.532 eV per atom
! N(E_F) = 2.69 states/eV/f.u.
! Size of the total moment = 0.000 Bohr magnetons per cell
! Space-group type = R32
&SYSTEM
  ibrav = 0, nat = 20, ntyp = 4
/
ATOMIC_SPECIES
Cd 112.41 Cd.upf
O 16.00 O.upf
Ac 227.00 Ac.upf
C 12.01 C.upf
CELL_PARAMETERS angstrom
6.643 0.156 0.216
-1.449 6.485 0.216
-1.449 -1.853 6.218
ATOMIC_POSITIONS crystal
Cd 0.473 0.000 0.527
O 0.630 0.844 0.034
Ac 0.000 0.000 0.000
O 0.373 0.627 0.500
O 0.844 0.034 0.630
O 0.500 0.094 0.906
O 0.627 0.500 0.373
O 0.034 0.630 0.844
O 0.370 0.966 0.156
C 0.032 0.500 0.968
C 0.500 0.968 0.032
C 0.500 0.500 0.500
Cd 0.527 0.473 0.000
O 0.966 0.156 0.370
O 0.156 0.370 0.966
O 0.094 0.906 0.500
O 0.906 0.500 0.094
O 0.500 0.373 0.627
Cd 0.000 0.527 0.473
C 0.968 0.032 0.500

=====

6.
! PBE AcCe2C, optimized geometry; values from VASP
! Formation energy = 10 kJ/mol of formula units
! N(E_F) = 9.48 states/eV/f.u.
! Energy above the most stable polymorph in this dataset = 0.000 eV/f.u.
! Size of the total moment = 1.371 Bohr magnetons per cell
! Space-group type = R-3m
&SYSTEM
  ibrav = 0, nat = 4, ntyp = 3
/
ATOMIC_SPECIES
Ce 140.12 Ce.upf
C 12.01 C.upf
Ac 227.00 Ac.upf
CELL_PARAMETERS angstrom
-3.233 -0.124 1.593
-0.257 -0.854 3.494
-0.343 9.295 4.106
ATOMIC_POSITIONS crystal
Ce 0.120 0.120 0.641
C 0.500 0.500 0.500
Ce 0.880 0.880 0.359
Ac 0.000 0.000 0.000

=====

7.
! PBE AcCe3C, optimized geometry; values from VASP
! Formation energy = 16 kJ/mol of formula units
! N(E_F) = 11.26 states/eV/f.u.
! Size of the total moment = 0.002 Bohr magnetons per cell
! Space-group type = Pm-3m
&SYSTEM
  ibrav = 0, nat = 5, ntyp = 3
/
ATOMIC_SPECIES
Ce 140.12 Ce.upf
C 12.01 C.upf
Ac 227.00 Ac.upf
CELL_PARAMETERS angstrom
-3.891 -1.310 -3.028
3.252 -0.737 -3.860
0.554 -4.875 1.397
ATOMIC_POSITIONS crystal
Ce 0.000 0.000 0.500
C 0.000 0.000 0.000
Ce 0.500 0.000 0.000
Ac 0.500 0.500 0.500
Ce 0.000 0.500 0.000

=====

8.
! PBE AcCeC4, optimized geometry; values from VASP
! Formation energy = -49 kJ/mol of formula units
! N(E_F) = 6.32 states/eV/f.u.
! Size of the total moment = 0.699 Bohr magnetons per cell
! Space-group type = C2/m
&SYSTEM
  ibrav = 0, nat = 6, ntyp = 3
/
ATOMIC_SPECIES
C 12.01 C.upf
Ce 140.12 Ce.upf
Ac 227.00 Ac.upf
CELL_PARAMETERS angstrom
-1.648 -1.330 -3.313
-3.648 -2.317 0.411
-4.676 4.830 -1.947
ATOMIC_POSITIONS crystal
C 0.296 0.091 0.318
C 0.704 0.909 0.682
Ce 0.500 0.500 0.500
Ac 0.000 0.000 0.000
C 0.193 0.392 0.223
C 0.807 0.608 0.777

=====

Which of these has the highest N(E_F)? AcCe3C